An optimized crystal structure of Er5GeRh2. Source: the Alexandria database, functional PBE-GGA.

Formation energy from the elements in meV per atom: -741
Crystal system: tetragonal
Magnetization in μB per atom: 0.00

CIF file:
```
data_Er5GeRh2
_chemical_formula_sum 'Er20 Ge4 Rh8'
_space_group_name_H-M_alt 'I 4/m c m'
_space_group_IT_number 140
_space_group_name_Hall '-I 4 2c'
_cell_length_a 7.575
_cell_length_b 7.575
_cell_length_c 13.067
_cell_angle_alpha 90.00
_cell_angle_beta 90.00
_cell_angle_gamma 90.00
loop_
_atom_site_label
_atom_site_type_symbol
_atom_site_fract_x
_atom_site_fract_y
_atom_site_fract_z
Er1 Er 0.000 0.000 0.000
Er2 Er 0.161 0.339 0.141
Ge1 Ge 0.000 0.000 0.250
Rh1 Rh 0.138 0.362 0.500
```